Entry from Alexandria via LeMat-Bulk: a relaxed structure of NiP2Au (PBE-GGA).

It has space group Immm (No. 71), with a = 3.792 Å, b = 4.457 Å, c = 9.460 Å, α = 90.00°, β = 90.00° and γ = 90.00°. The inequivalent atoms are Ni at (0.000, 0.000, 0.000), P at (0.000, 0.500, 0.374) and Au at (0.000, 0.000, 0.500).

The formation energy is 0.69 eV/f.u. The calculation puts the total energy at -4.798 eV per atom. Its distance to the lowest polymorph of the same formula is 261 meV per atom. The density of states at the Fermi level is 3.190 states/eV/f.u.

Entry from Alexandria via LeMat-Bulk: a relaxed structure of NiPAu2 (PBE-GGA).

It has space group Immm (No. 71), with a = 2.895 Å, b = 3.512 Å, c = 12.699 Å, α = 90.00°, β = 90.00° and γ = 90.00°. The inequivalent atoms are Ni at (0.000, 0.000, 0.000), P at (0.000, 0.000, 0.500) and Au at (0.000, 0.500, 0.322).

The formation energy is 0.06 eV/f.u. The calculation puts the total energy at -4.422 eV per atom. The density of states at the Fermi level is 1.846 states/eV/f.u.

Entry from Alexandria via LeMat-Bulk: a relaxed structure of NiP2Au (PBE-GGA).

It has space group P4/mmm (No. 123), with a = 4.111 Å, b = 4.111 Å, c = 3.479 Å, α = 90.00°, β = 90.00° and γ = 90.00°. The inequivalent atoms are Ni at (0.000, 0.000, 0.000), P at (0.000, 0.500, 0.500) and Au at (0.500, 0.500, 0.000).

The formation energy is 1.42 eV/f.u. The calculation puts the total energy at -4.615 eV per atom. Its distance to the lowest polymorph of the same formula is 444 meV per atom. The density of states at the Fermi level is 1.181 states/eV/f.u.

Entry from Alexandria via LeMat-Bulk: a relaxed structure of Pa2Ni12P3Au (PBE-GGA).

It has space group R-3m (No. 166, hexagonal axes), with a = 7.4749 Å, b = 7.4749 Å, c = 16.9338 Å, α = 90.00°, β = 90.00° and γ = 120.00°. The inequivalent atoms are Pa at (0.0000, 0.0000, 0.1125), Ni at (0.0214, 0.5107, 0.3638), Ni at (0.0353, 0.5176, 0.8705), P at (0.0000, 0.5000, 0.0000) and Au at (0.0000, 0.0000, 0.5000).

The formation energy is -1.25 eV/f.u. The calculation puts the total energy at -6.063 eV per atom. The density of states at the Fermi level is 11.169 states/eV/f.u.